This record from the Alexandria database describes YHoAu after structural relaxation. The functional is PBE.

Summary:
The value obtained for the formation enthalpy at 0 K is -0.45 eV/atom. The energy relative to the lowest polymorph listed for this composition is 171 meV per atom. As for the volume: 346.71 Å³ per cell.

Unit cell a=7.025 b=7.025 c=7.025 alpha=90.00 beta=90.00 gamma=90.00
Space group F-43m (No. 216)
Symmetry-distinct sites (fractional):
Y1 0.000 0.000 0.000 (multiplicity 4)
Ho1 0.000 0.000 0.500 (multiplicity 4)
Au1 0.250 0.250 0.750 (multiplicity 4)